No. 1
{
  "formula": "KAsF2",
  "functional": "PBE-GGA",
  "state": "relaxed",
  "cell": [[-1.059, -7.538, 0.313], [1.721, -7.230, -1.678], [2.038, -7.132, 1.740]],
  "species": ["F", "F", "As", "K"],
  "fractional_positions": [[0.093, 0.093, 0.093], [0.907, 0.907, 0.907], [0.000, 0.000, 0.000], [0.500, 0.500, 0.500]],
  "magmom_total_mub_per_cell": 0.000,
  "volume_a3_per_cell": 75.1,
  "raw_formation_energy_ev_per_atom": -1.817,
  "energy_ev_per_fu": -16.8
}

=====

No. 2
{
  "formula": "KTlSiHg2",
  "functional": "PBE-GGA",
  "state": "relaxed",
  "cell": [[5.436, 0.000, 0.000], [0.000, 5.436, 0.000], [0.000, 0.000, 5.426]],
  "species": ["Hg", "Hg", "K", "Tl", "Si"],
  "fractional_positions": [[0.000, 0.500, 0.000], [0.500, 0.000, 0.000], [0.500, 0.500, 0.500], [0.000, 0.000, 0.500], [0.000, 0.000, 0.000]],
  "magmom_total_mub_per_cell": 0.000,
  "volume_a3_per_cell": 160.4,
  "raw_formation_energy_ev_per_atom": 0.114,
  "energy_ev_per_fu": -8.9
}

=====

No. 3
{
  "formula": "Pm3NiGe6Pd2",
  "functional": "PBE-GGA",
  "state": "relaxed",
  "cell": [[5.919, 0.000, 0.000], [-2.959, 5.126, 0.000], [0.000, 0.000, 8.131]],
  "species": ["Pm", "Pm", "Pm", "Ge", "Ge", "Ge", "Ge", "Ge", "Ge", "Ni", "Pd", "Pd"],
  "fractional_positions": [[0.333, 0.667, 0.631], [0.000, 0.000, 0.000], [0.667, 0.333, 0.369], [0.818, 0.182, 0.705], [0.818, 0.636, 0.705], [0.182, 0.818, 0.295], [0.364, 0.182, 0.705], [0.636, 0.818, 0.295], [0.182, 0.364, 0.295], [0.000, 0.000, 0.500], [0.667, 0.333, 0.966], [0.333, 0.667, 0.034]],
  "magmom_total_mub_per_cell": 0.000,
  "volume_a3_per_cell": 246.7,
  "e_form_mev_per_atom": -453,
  "energy_ev_per_fu": -63.6
}

=====

Number 3 is which compound? Pm3NiGe6Pd2